Record 1
Here is a geometry-optimized SnHgNO2 structure from Alexandria via LeMat-Bulk. Energies are from GGA-PBE.

Cell lengths 4.074, 4.074, 4.285 Å; angles 90.00, 90.00, 90.00 degrees
Each line ends with the local moment (μB).
Atoms (fractional coordinates):
Hg 0.500 0.500 0.500  -0.04
N 0.000 0.000 0.500  0.66
Sn 0.000 0.000 0.000  -0.03
O 0.000 0.500 0.000  0.12
O 0.500 0.000 0.000  0.12

Computed properties:
Formation energy (no corrections) = 0.11 eV per atom
Spin magnetization = 1.14 μB per cell
V = 71.1 Å³ per cell
Symmetry = P4/mmm

---

Record 2
Here is a geometry-optimized SnHgNO2 structure from Alexandria via LeMat-Bulk. Energies are from GGA-PBE.

Cell lengths 4.309, 4.309, 4.199 Å; angles 90.00, 90.00, 90.00 degrees
Each line ends with the local moment (μB).
Atoms (fractional coordinates):
O 0.000 0.500 0.000  0.12
Sn 0.500 0.500 0.500  0.01
N 0.000 0.000 0.500  0.81
Hg 0.000 0.000 0.000  0.09
O 0.500 0.000 0.000  0.12

Computed properties:
Formation energy (no corrections) = 0.78 eV per atom
Spin magnetization = 1.50 μB per cell
V = 78.0 Å³ per cell
Symmetry = P4/mmm

---

Record 3
Here is a geometry-optimized SrHgN2O structure from Alexandria via LeMat-Bulk. Energies are from GGA-PBE.

Cell lengths 5.294, 5.294, 4.575 Å; angles 90.00, 90.00, 90.00 degrees
Each line ends with the local moment (μB).
Atoms (fractional coordinates):
Hg 0.500 0.500 0.500  0.07
N 0.500 0.000 0.000  1.59
O 0.000 0.000 0.500  -0.07
Sr 0.000 0.000 0.000  0.03
N 0.000 0.500 0.000  1.59

Computed properties:
Formation energy (no corrections) = 1.26 eV per atom
Spin magnetization = 4.87 μB per cell
V = 128.2 Å³ per cell
Symmetry = P4/mmm

---

Record 4
Here is a geometry-optimized SrHgN2O structure from Alexandria via LeMat-Bulk. Energies are from GGA-PBE.

Cell lengths 4.258, 4.258, 4.489 Å; angles 90.00, 90.00, 90.00 degrees
Each line ends with the local moment (μB).
Atoms (fractional coordinates):
O 0.000 0.000 0.500  0.19
N 0.500 0.000 0.000  0.74
Sr 0.500 0.500 0.500  0.00
Hg 0.000 0.000 0.000  0.07
N 0.000 0.500 0.000  0.74

Computed properties:
Formation energy (no corrections) = 0.68 eV per atom
Spin magnetization = 2.38 μB per cell
V = 81.4 Å³ per cell
Symmetry = P4/mmm

---

Record 5
Here is a geometry-optimized TcHgNO2 structure from Alexandria via LeMat-Bulk. Energies are from GGA-PBE.

Cell lengths 4.192, 4.192, 4.185 Å; angles 90.00, 90.00, 90.00 degrees
Each line ends with the local moment (μB).
Atoms (fractional coordinates):
Tc 0.500 0.500 0.500  3.94
N 0.000 0.000 0.500  -0.53
O 0.000 0.500 0.000  0.04
Hg 0.000 0.000 0.000  -0.04
O 0.500 0.000 0.000  0.04

Computed properties:
Formation energy (no corrections) = 1.51 eV per atom
Spin magnetization = 3.72 μB per cell
V = 73.5 Å³ per cell
Symmetry = P4/mmm

---

Record 6
Here is a geometry-optimized TcHgNO2 structure from Alexandria via LeMat-Bulk. Energies are from GGA-PBE.

Cell lengths 3.703, 5.847, 3.703 Å; angles 90.00, 90.00, 90.00 degrees
Each line ends with the local moment (μB).
Atoms (fractional coordinates):
Tc 0.000 0.000 0.000  0.14
O 0.500 0.000 0.000  0.00
Hg 0.000 0.500 0.000  0.03
N 0.500 0.500 0.500  1.07
O 0.000 0.000 0.500  0.01

Computed properties:
Formation energy (no corrections) = 0.19 eV per atom
Spin magnetization = 1.75 μB per cell
V = 80.2 Å³ per cell
Symmetry = P4/mmm

---

Record 7
Here is a geometry-optimized TcHgNO2 structure from Alexandria via LeMat-Bulk. Energies are from GGA-PBE.

Cell lengths 3.867, 3.867, 4.121 Å; angles 90.00, 90.00, 90.00 degrees
Atoms (fractional coordinates):
O 0.500 0.000 0.000
N 0.000 0.000 0.500
Tc 0.000 0.000 0.000
O 0.000 0.500 0.000
Hg 0.500 0.500 0.500

Computed properties:
Formation energy (no corrections) = -0.20 eV per atom
Spin magnetization = 0.00 μB per cell
V = 61.6 Å³ per cell
Symmetry = P4/mmm

---

Record 8
Here is a geometry-optimized TiHgN2O structure from Alexandria via LeMat-Bulk. Energies are from GGA-PBE.

Cell lengths 4.110, 4.110, 3.823 Å; angles 90.00, 90.00, 90.00 degrees
Each line ends with the local moment (μB).
Atoms (fractional coordinates):
Hg 0.500 0.500 0.500  -0.02
N 0.000 0.500 0.000  0.67
N 0.500 0.000 0.000  0.67
O 0.000 0.000 0.500  0.28
Ti 0.000 0.000 0.000  -0.14

Computed properties:
Formation energy (no corrections) = 0.01 eV per atom
Spin magnetization = 2.03 μB per cell
V = 64.6 Å³ per cell
Symmetry = P4/mmm